Hf2BeZnO: relaxed, PBE.

symmetry	No. 123
raw formation energy	17.26	kcal/mol of atoms
total moment	0.00	μB per formula unit

a b c (Å): 5.130 3.546 5.130
angles (deg): 90.00 90.00 90.00
Fractional coordinates of all 5 atoms:
Zn  0.000  0.000  0.000
Hf  0.000  0.000  0.500
Hf  0.500  0.000  0.000
Be  0.500  0.500  0.500
O  0.000  0.500  0.000

=====

Ac7PuSn4: relaxed, PBE.

symmetry	No. 12
total moment	8.03	μB per formula unit
energy	-61.5	eV/f.u.

a b c (Å): 6.013 10.018 8.779
angles (deg): 77.72 69.97 72.54
Last column: magnetic moment on the atom in μB.
Fractional coordinates of all 12 atoms:
Sn  0.574  0.223  0.629  -0.01
Sn  0.716  0.663  0.906  -0.03
Sn  0.284  0.337  0.094  -0.03
Sn  0.426  0.777  0.371  -0.01
Ac  0.207  0.127  0.458  0.04
Ac  0.924  0.321  0.831  0.17
Ac  0.076  0.679  0.169  0.17
Ac  0.348  0.573  0.731  0.02
Ac  0.652  0.427  0.269  0.02
Ac  0.793  0.873  0.542  0.04
Ac  0.500  0.000  0.000  0.32
Pu  0.000  0.000  0.000  6.10

=====

CdSbMo2: relaxed, PBE.

symmetry	No. 225
raw formation energy	12.78	kcal/mol of atoms
total moment	0.00	μB per formula unit

a b c (Å): 4.665 4.665 4.665
angles (deg): 60.00 60.00 60.00
Fractional coordinates of all 4 atoms:
Sb  0.500  0.500  0.500
Mo  0.250  0.250  0.250
Mo  0.750  0.750  0.750
Cd  0.000  0.000  0.000

=====

Cd2Co2B: relaxed, PBE.

symmetry	No. 139
total moment	2.88	μB per formula unit
energy	-15.9	eV/f.u.

a b c (Å): 3.639 3.639 6.878
angles (deg): 74.66 74.66 90.00
Last column: magnetic moment on the atom in μB.
Fractional coordinates of all 5 atoms:
B  0.000  0.000  0.000  -0.06
Co  0.417  0.417  0.165  1.61
Co  0.583  0.583  0.835  1.61
Cd  0.750  0.250  0.500  -0.05
Cd  0.250  0.750  0.500  -0.05

=====

NiRu2Rh: relaxed, PBE.

symmetry	No. 119
total moment	0.00	μB per formula unit
energy	-31.3	eV/f.u.

a b c (Å): 4.636 4.636 4.636
angles (deg): 132.37 132.37 69.65
Fractional coordinates of all 4 atoms:
Ru  0.250  0.750  0.500
Ru  0.000  0.000  0.000
Rh  0.750  0.250  0.500
Ni  0.500  0.500  0.000

=====

La2PmSmY5: relaxed, PBE.

symmetry	No. 140
total moment	0.00	μB per formula unit
energy	-49.5	eV/f.u.

a b c (Å): 8.736 8.736 10.064
angles (deg): 115.72 115.72 90.00
Fractional coordinates of all 18 atoms:
La  0.383  0.883  0.000
La  0.617  0.117  0.000
La  0.883  0.617  0.000
La  0.117  0.383  0.000
Pm  0.250  0.250  0.500
Pm  0.750  0.750  0.500
Y  0.353  0.853  0.280
Y  0.073  0.573  0.720
Y  0.500  0.500  0.000
Y  0.427  0.353  0.280
Y  0.647  0.147  0.720
Y  0.147  0.073  0.720
Y  0.853  0.927  0.280
Y  0.927  0.427  0.280
Y  0.000  0.000  0.000
Y  0.573  0.647  0.720
Sm  0.250  0.750  0.500
Sm  0.750  0.250  0.500

=====

Ba2UO4F: relaxed, PBE.

symmetry	No. 12
raw formation energy	-73.13	kcal/mol of atoms
total moment	1.00	μB per formula unit

a b c (Å): 3.642 6.136 7.368
angles (deg): 66.83 75.69 72.73
Last column: magnetic moment on the atom in μB.
Fractional coordinates of all 8 atoms:
U  0.000  0.000  0.000  1.06
O  0.398  0.252  0.951  -0.03
O  0.857  0.002  0.285  -0.03
O  0.143  0.998  0.715  -0.03
O  0.602  0.748  0.049  -0.03
Ba  0.180  0.327  0.312  0.00
Ba  0.820  0.673  0.688  0.00
F  0.500  0.500  0.500  0.00

=====

La2NdSm5Ho: relaxed, PBE.

symmetry	No. 140
total moment	0.00	μB per formula unit
energy	-40.5	eV/f.u.

a b c (Å): 8.759 8.759 10.206
angles (deg): 115.41 115.41 90.00
Fractional coordinates of all 18 atoms:
Ho  0.250  0.750  0.500
Ho  0.750  0.250  0.500
Sm  0.425  0.359  0.284
Sm  0.141  0.075  0.716
Sm  0.500  0.500  0.000
Sm  0.075  0.575  0.716
Sm  0.359  0.859  0.284
Sm  0.575  0.641  0.716
Sm  0.641  0.141  0.716
Sm  0.925  0.425  0.284
Sm  0.859  0.925  0.284
Sm  0.000  0.000  0.000
La  0.619  0.119  0.000
La  0.881  0.619  0.000
La  0.381  0.881  0.000
La  0.119  0.381  0.000
Nd  0.250  0.250  0.500
Nd  0.750  0.750  0.500

=====

no.,volume (Å³/cell)
1,93.31
2,470.32
3,71.81
4,84.47
5,53.37
6,606.39
7,142.96
8,622.32